No. 1
This record from OQMD via LeMat-Bulk describes a relaxed Hf2ZrSi2 crystal. The functional is PBE.

```
Hf2ZrSi2
1.0
-1.848 1.848 7.114
1.848 -1.848 7.114
1.848 1.848 -7.114
Hf Zr Si
2 1 2
Direct
0.109 0.109 0.000 Hf
0.891 0.891 0.000 Hf
0.500 0.500 0.000 Zr
0.250 0.750 0.500 Si
0.750 0.250 0.500 Si
```

Computed properties:
As for the space group: I4/mmm (139). For the polymorph energy (0 for the lowest one), the calculation gives 846.4 meV per atom. The density is 8.614 g/cm³.

***

No. 2
This record from OQMD via LeMat-Bulk describes a relaxed HfZrSi crystal. The functional is PBE.

```
HfZrSi
1.0
-2.621 3.303 3.303
2.621 -3.303 3.303
2.621 3.303 -3.303
Hf Zr Si
2 2 2
Direct
0.157 0.250 0.407 Hf
0.843 0.750 0.593 Hf
0.157 0.565 0.092 Zr
0.473 0.065 0.908 Zr
0.658 0.158 0.500 Si
0.658 0.658 0.000 Si
```

Computed properties:
As for the space group: Ima2 (46). The density is 8.646 g/cm³. For the total energy, the calculation gives -8.735 eV/atom.

***

No. 3
This record from OQMD via LeMat-Bulk describes a relaxed HfZr3Si4 crystal. The functional is PBE.

```
HfZr3Si4
1.0
5.305 0.000 0.000
0.000 3.798 0.000
-0.012 0.000 6.990
Hf Zr Si
1 3 4
Direct
0.000 0.000 0.000 Hf
0.250 0.500 0.649 Zr
0.499 0.500 0.148 Zr
0.751 0.000 0.500 Zr
0.263 0.000 0.366 Si
0.486 0.000 0.868 Si
0.764 0.500 0.783 Si
0.986 0.500 0.280 Si
```

Computed properties:
As for the space group: Pm (6). The density is 6.655 g/cm³. For the total energy, the calculation gives -8.067 eV/atom.

***

No. 4
This record from OQMD via LeMat-Bulk describes a relaxed HfZrSi crystal. The functional is PBE.

```
HfZrSi
1.0
0.000 4.646 4.689
2.625 0.000 4.689
2.625 4.646 0.000
Hf Zr Si
2 2 2
Direct
0.158 0.158 0.842 Hf
0.842 0.842 0.158 Hf
0.343 0.657 0.343 Zr
0.657 0.343 0.657 Zr
0.250 0.250 0.250 Si
0.750 0.750 0.750 Si
```

Computed properties:
As for the space group: Fmmm (69). The density is 8.647 g/cm³. For the total energy, the calculation gives -8.735 eV/atom.

***

No. 5
This record from OQMD via LeMat-Bulk describes a relaxed Hf3ZrSi4 crystal. The functional is PBE.

```
Hf3ZrSi4
1.0
5.265 0.000 0.000
0.000 3.790 0.000
-0.011 0.000 6.927
Hf Zr Si
3 1 4
Direct
0.000 0.000 0.000 Hf
0.249 0.000 0.499 Hf
0.499 0.500 0.148 Hf
0.748 0.500 0.648 Zr
0.014 0.500 0.280 Si
0.234 0.500 0.781 Si
0.513 0.000 0.868 Si
0.734 0.000 0.365 Si
```

Computed properties:
As for the space group: Pm (6). The density is 8.880 g/cm³. For the total energy, the calculation gives -8.362 eV/atom.

***

No. 6
This record from OQMD via LeMat-Bulk describes a relaxed HfZr3Si2 crystal. The functional is PBE.

```
HfZr3Si2
1.0
0.000 4.667 4.680
2.643 0.000 4.680
2.643 4.667 0.000
Hf Zr Si
1 3 2
Direct
0.000 0.000 0.000 Hf
0.184 0.500 0.500 Zr
0.500 0.184 0.816 Zr
0.684 0.684 0.316 Zr
0.092 0.092 0.408 Si
0.592 0.592 0.908 Si
```

Computed properties:
As for the space group: Fmm2 (42). The density is 7.312 g/cm³. For the total energy, the calculation gives -8.510 eV/atom.

***

No. 7
This record from OQMD via LeMat-Bulk describes a relaxed HfZr2Si2 crystal. The functional is PBE.

```
HfZr2Si2
1.0
7.075 0.000 0.000
0.000 7.075 0.000
0.000 0.000 3.703
Hf Zr Si
2 4 4
Direct
0.000 0.000 0.000 Hf
0.500 0.500 0.000 Hf
0.174 0.326 0.500 Zr
0.326 0.826 0.500 Zr
0.674 0.174 0.500 Zr
0.826 0.674 0.500 Zr
0.123 0.623 0.000 Si
0.377 0.123 0.000 Si
0.623 0.877 0.000 Si
0.877 0.377 0.000 Si
```

Computed properties:
As for the space group: P4/mbm (127). For the polymorph energy (0 for the lowest one), the calculation gives 0.0 meV per atom. The density is 7.473 g/cm³.

***

No. 8
This record from OQMD via LeMat-Bulk describes a relaxed HfZrSi crystal. The functional is PBE.

```
HfZrSi
1.0
0.000 3.169 3.169
3.169 0.000 3.169
3.169 3.169 0.000
Hf Zr Si
1 1 1
Direct
0.000 0.000 0.000 Hf
0.500 0.500 0.500 Zr
0.250 0.250 0.250 Si
```

Computed properties:
As for the space group: F-43m (216). The density is 7.772 g/cm³. For the total energy, the calculation gives -8.322 eV/atom.

***

No. 9
This record from OQMD via LeMat-Bulk describes a relaxed HfZr2Si crystal. The functional is PBE.

```
HfZr2Si
1.0
0.000 3.403 3.403
3.403 0.000 3.403
3.403 3.403 0.000
Hf Zr Si
1 2 1
Direct
0.000 0.000 0.000 Hf
0.250 0.250 0.250 Zr
0.500 0.500 0.500 Zr
0.750 0.750 0.750 Si
```

Computed properties:
As for the space group: F-43m (216). The density is 8.197 g/cm³. For the total energy, the calculation gives -8.238 eV/atom.

***

No. 10
This record from OQMD via LeMat-Bulk describes a relaxed SmHf2 crystal. The functional is PBE.

```
SmHf2
1.0
0.000 6.385 6.385
6.385 0.000 6.385
6.385 6.385 0.000
Sm Hf
2 4
Direct
0.125 0.125 0.125 Sm
0.875 0.875 0.875 Sm
0.000 0.000 0.000 Hf
0.000 0.000 0.500 Hf
0.000 0.500 0.000 Hf
0.500 0.000 0.000 Hf
```

Computed properties:
The formation energy from the elements is 3.448 eV/atom. As for the space group: Fd-3m (227). For the polymorph energy (0 for the lowest one), the calculation gives 3093.1 meV per atom. The density is 3.236 g/cm³.

***

No. 11
This record from OQMD via LeMat-Bulk describes a relaxed SmHf2 crystal. The functional is PBE.

```
SmHf2
1.0
5.660 0.000 0.000
0.000 5.660 0.000
0.000 0.000 5.496
Sm Hf
2 4
Direct
0.000 0.000 0.000 Sm
0.500 0.500 0.500 Sm
0.166 0.166 0.500 Hf
0.334 0.666 0.000 Hf
0.666 0.334 0.000 Hf
0.834 0.834 0.500 Hf
```

Computed properties:
The formation energy from the elements is 1.376 eV/atom. As for the space group: P4_2/mnm (136). For the polymorph energy (0 for the lowest one), the calculation gives 1021.0 meV per atom. The density is 9.568 g/cm³.

***

No. 12
This record from OQMD via LeMat-Bulk describes a relaxed Sm2Hf crystal. The functional is PBE.

```
Sm2Hf
1.0
0.000 6.157 6.157
6.157 0.000 6.157
6.157 6.157 0.000
Sm Hf
4 2
Direct
0.000 0.000 0.000 Sm
0.000 0.000 0.500 Sm
0.000 0.500 0.000 Sm
0.500 0.000 0.000 Sm
0.125 0.125 0.125 Hf
0.875 0.875 0.875 Hf
```

Computed properties:
The formation energy from the elements is 2.340 eV/atom. As for the space group: Fd-3m (227). For the polymorph energy (0 for the lowest one), the calculation gives 1685.4 meV per atom. The density is 3.409 g/cm³.

***

No. 13
This record from OQMD via LeMat-Bulk describes a relaxed Sm2Hf crystal. The functional is PBE.

```
Sm2Hf
1.0
0.000 4.436 4.436
4.436 0.000 4.436
4.436 4.436 0.000
Sm Hf
4 2
Direct
0.000 0.000 0.000 Sm
0.000 0.000 0.500 Sm
0.000 0.500 0.000 Sm
0.500 0.000 0.000 Sm
0.375 0.375 0.375 Hf
0.625 0.625 0.625 Hf
```

Computed properties:
The formation energy from the elements is 0.654 eV/atom. As for the space group: Fd-3m (227). For the polymorph energy (0 for the lowest one), the calculation gives 0.0 meV per atom. The density is 9.114 g/cm³.

***

No. 14
This record from OQMD via LeMat-Bulk describes a relaxed SmHfSn crystal. The functional is PBE.

```
SmHfSn
1.0
0.000 3.602 3.602
3.602 0.000 3.602
3.602 3.602 0.000
Sm Hf Sn
1 1 1
Direct
0.000 0.000 0.000 Sm
0.750 0.750 0.750 Hf
0.250 0.250 0.250 Sn
```

Computed properties:
As for the space group: F-43m (216). The density is 7.949 g/cm³. For the total energy, the calculation gives -5.562 eV/atom.

***

No. 15
This record from OQMD via LeMat-Bulk describes a relaxed SrSmHf crystal. The functional is PBE.

```
SrSmHf
1.0
0.000 3.853 3.853
3.853 0.000 3.853
3.853 3.853 0.000
Sr Sm Hf
1 1 1
Direct
0.000 0.000 0.000 Sr
0.750 0.750 0.750 Sm
0.500 0.500 0.500 Hf
```

Computed properties:
As for the space group: F-43m (216). The density is 6.047 g/cm³. For the total energy, the calculation gives -4.228 eV/atom.

***

No. 16
This record from OQMD via LeMat-Bulk describes a relaxed SmHfTa crystal. The functional is PBE.

```
SmHfTa
1.0
0.000 3.410 3.410
3.410 0.000 3.410
3.410 3.410 0.000
Sm Hf Ta
1 1 1
Direct
0.000 0.000 0.000 Sm
0.250 0.250 0.250 Hf
0.500 0.500 0.500 Ta
```

Computed properties:
The formation energy from the elements is 1.116 eV/atom. As for the space group: F-43m (216). For the polymorph energy (0 for the lowest one), the calculation gives 0.0 meV per atom. The density is 10.674 g/cm³.

***

No. 17
This record from OQMD via LeMat-Bulk describes a relaxed SmHfTa crystal. The functional is PBE.

```
SmHfTa
1.0
0.000 3.394 3.394
3.394 0.000 3.394
3.394 3.394 0.000
Sm Hf Ta
1 1 1
Direct
0.000 0.000 0.000 Sm
0.750 0.750 0.750 Hf
0.250 0.250 0.250 Ta
```

Computed properties:
The formation energy from the elements is 1.489 eV/atom. As for the space group: F-43m (216). For the polymorph energy (0 for the lowest one), the calculation gives 373.6 meV per atom. The density is 10.829 g/cm³.

***

No. 18
This record from OQMD via LeMat-Bulk describes a relaxed SmHfTe crystal. The functional is PBE.

```
SmHfTe
1.0
0.000 3.492 3.492
3.492 0.000 3.492
3.492 3.492 0.000
Sm Hf Te
1 1 1
Direct
0.000 0.000 0.000 Sm
0.500 0.500 0.500 Hf
0.750 0.750 0.750 Te
```

Computed properties:
As for the space group: F-43m (216). For the polymorph energy (0 for the lowest one), the calculation gives 0.0 meV per atom. The density is 8.902 g/cm³.

***

No. 19
This record from OQMD via LeMat-Bulk describes a relaxed SmHfTe crystal. The functional is PBE.

```
SmHfTe
1.0
0.000 3.679 3.679
3.679 0.000 3.679
3.679 3.679 0.000
Sm Hf Te
1 1 1
Direct
0.000 0.000 0.000 Sm
0.750 0.750 0.750 Hf
0.250 0.250 0.250 Te
```

Computed properties:
As for the space group: F-43m (216). For the polymorph energy (0 for the lowest one), the calculation gives 622.0 meV per atom. The density is 7.610 g/cm³.

***

No. 20
This record from OQMD via LeMat-Bulk describes a relaxed SmHfTh crystal. The functional is PBE.

```
SmHfTh
1.0
0.000 3.673 3.673
3.673 0.000 3.673
3.673 3.673 0.000
Sm Hf Th
1 1 1
Direct
0.000 0.000 0.000 Sm
0.250 0.250 0.250 Hf
0.500 0.500 0.500 Th
```

Computed properties:
The formation energy from the elements is 0.752 eV/atom. As for the space group: F-43m (216). For the polymorph energy (0 for the lowest one), the calculation gives 0.0 meV per atom. The density is 9.400 g/cm³.

***

No. 21
This record from OQMD via LeMat-Bulk describes a relaxed SmHfTl crystal. The functional is PBE.

```
SmHfTl
1.0
0.000 3.544 3.544
3.544 0.000 3.544
3.544 3.544 0.000
Sm Hf Tl
1 1 1
Direct
0.000 0.000 0.000 Sm
0.500 0.500 0.500 Hf
0.750 0.750 0.750 Tl
```

Computed properties:
As for the space group: F-43m (216). For the polymorph energy (0 for the lowest one), the calculation gives 0.0 meV per atom. The density is 9.949 g/cm³.

***

No. 22
This record from OQMD via LeMat-Bulk describes a relaxed SmHfTl crystal. The functional is PBE.

```
SmHfTl
1.0
0.000 3.611 3.611
3.611 0.000 3.611
3.611 3.611 0.000
Sm Hf Tl
1 1 1
Direct
0.000 0.000 0.000 Sm
0.750 0.750 0.750 Hf
0.250 0.250 0.250 Tl
```

Computed properties:
As for the space group: F-43m (216). For the polymorph energy (0 for the lowest one), the calculation gives 508.1 meV per atom. The density is 9.403 g/cm³.

***

No. 23
This record from OQMD via LeMat-Bulk describes a relaxed SmHfU crystal. The functional is PBE.

```
SmHfU
1.0
0.000 3.506 3.506
3.506 0.000 3.506
3.506 3.506 0.000
Sm Hf U
1 1 1
Direct
0.000 0.000 0.000 Sm
0.250 0.250 0.250 Hf
0.500 0.500 0.500 U
```

Computed properties:
The formation energy from the elements is 1.193 eV/atom. As for the space group: F-43m (216). For the polymorph energy (0 for the lowest one), the calculation gives 0.0 meV per atom. The density is 10.926 g/cm³.

***

No. 24
This record from OQMD via LeMat-Bulk describes a relaxed SmYHf crystal. The functional is PBE.

```
SmYHf
1.0
0.000 3.694 3.694
3.694 0.000 3.694
3.694 3.694 0.000
Sm Y Hf
1 1 1
Direct
0.000 0.000 0.000 Sm
0.500 0.500 0.500 Y
0.250 0.250 0.250 Hf
```

Computed properties:
The formation energy from the elements is 0.861 eV/atom. As for the space group: F-43m (216). For the polymorph energy (0 for the lowest one), the calculation gives 0.0 meV per atom. The density is 6.882 g/cm³.

***

No. 25
This record from OQMD via LeMat-Bulk describes a relaxed SmHfZn crystal. The functional is PBE.

```
SmHfZn
1.0
0.000 3.445 3.445
3.445 0.000 3.445
3.445 3.445 0.000
Sm Hf Zn
1 1 1
Direct
0.000 0.000 0.000 Sm
0.750 0.750 0.750 Hf
0.250 0.250 0.250 Zn
```

Computed properties:
The formation energy from the elements is 0.975 eV/atom. As for the space group: F-43m (216). For the polymorph energy (0 for the lowest one), the calculation gives 675.9 meV per atom. The density is 8.008 g/cm³.

***

No. 26
This record from OQMD via LeMat-Bulk describes a relaxed SmHfZn crystal. The functional is PBE.

```
SmHfZn
1.0
0.000 3.363 3.363
3.363 0.000 3.363
3.363 3.363 0.000
Sm Hf Zn
1 1 1
Direct
0.000 0.000 0.000 Sm
0.500 0.500 0.500 Hf
0.750 0.750 0.750 Zn
```

Computed properties:
The formation energy from the elements is 0.299 eV/atom. As for the space group: F-43m (216). For the polymorph energy (0 for the lowest one), the calculation gives 0.0 meV per atom. The density is 8.604 g/cm³.

***

No. 27
This record from OQMD via LeMat-Bulk describes a relaxed HfSn2 crystal. The functional is PBE.

```
HfSn2
1.0
0.000 4.187 4.187
4.187 0.000 4.187
4.187 4.187 0.000
Hf Sn
2 4
Direct
0.125 0.125 0.125 Hf
0.875 0.875 0.875 Hf
0.000 0.500 0.500 Sn
0.500 0.000 0.500 Sn
0.500 0.500 0.000 Sn
0.500 0.500 0.500 Sn
```

Computed properties:
As for the space group: Fd-3m (227). The density is 9.406 g/cm³. For the total energy, the calculation gives -5.559 eV/atom.

***

No. 28
This record from OQMD via LeMat-Bulk describes a relaxed HfSn crystal. The functional is PBE.

```
HfSn
1.0
7.246 0.000 0.000
0.000 4.366 0.000
0.000 0.000 5.691
Hf Sn
4 4
Direct
0.181 0.250 0.146 Hf
0.319 0.750 0.646 Hf
0.681 0.250 0.354 Hf
0.819 0.750 0.854 Hf
0.050 0.250 0.669 Sn
0.450 0.750 0.169 Sn
0.550 0.250 0.831 Sn
0.950 0.750 0.331 Sn
```

Computed properties:
As for the space group: Pnma (62). The density is 10.965 g/cm³. For the total energy, the calculation gives -7.194 eV/atom.

***

No. 29
This record from OQMD via LeMat-Bulk describes a relaxed HfSn2 crystal. The functional is PBE.

```
HfSn2
1.0
0.000 6.468 6.468
6.468 0.000 6.468
6.468 6.468 0.000
Hf Sn
2 4
Direct
0.125 0.125 0.125 Hf
0.875 0.875 0.875 Hf
0.000 0.000 0.000 Sn
0.000 0.000 0.500 Sn
0.000 0.500 0.000 Sn
0.500 0.000 0.000 Sn
```

Computed properties:
As for the space group: Fd-3m (227). The density is 2.552 g/cm³. For the total energy, the calculation gives -4.692 eV/atom.